A plane-wave DFT calculation with PBE-GGA was carried out for a geometry-optimized Y2CuPbC structure.

Values from the calculation:
**Uncorrected energy**: -6.259 eV per atom
**M_tot**: 0.00 μB per formula unit
**Space group**: P4/mmm
**ΔE_f**: -0.27 eV per atom

Cell: 5.0557 5.0557 3.9843 Å, 90.00 90.00 90.00°
Last column: nearest neighbours and their distance in Å.
Fractional positions:
Y 0.0000 0.5000 0.0000  2 C 2.53
Y 0.5000 0.0000 0.0000  2 C 2.53
Cu 0.0000 0.0000 0.5000  2 C 1.99
Pb 0.5000 0.5000 0.5000  8 Y 3.22, 4 Cu 3.57
C 0.0000 0.0000 0.0000  2 Cu 1.99


A plane-wave DFT calculation with PBE-GGA was carried out for a geometry-optimized MnInFe2 structure.

Values from the calculation:
**Uncorrected energy**: -7.005 eV per atom
**M_tot**: 5.95 μB per formula unit
**Space group**: P4/mmm
**ΔE_f**: 0.20 eV per atom

Cell: 3.0927 3.0927 5.8074 Å, 90.00 90.00 90.00°
Last column: nearest neighbours and their distance in Å.
Fractional positions:
Mn 0.0000 0.0000 0.0000  8 Fe 2.48
In 0.0000 0.0000 0.5000  8 Fe 2.79, 2 Mn 2.90, 4 In 3.09
Fe 0.5000 0.5000 0.2004  1 Fe 2.33, 4 Mn 2.48
Fe 0.5000 0.5000 0.7996  1 Fe 2.33, 4 Mn 2.48


A plane-wave DFT calculation with PBE-GGA was carried out for a geometry-optimized MgNiMo structure.

Values from the calculation:
**Uncorrected energy**: -6.004 eV per atom
**M_tot**: 0.00 μB per formula unit
**Space group**: Pm
**ΔE_f**: 0.07 eV per atom

Cell: 3.1166 3.2033 9.1124 Å, 90.00 92.07 90.00°
Last column: nearest neighbours and their distance in Å.
Fractional positions:
Mg 0.0000 0.0000 0.0000  8 Ni 2.67-2.71, 1 Mg 2.89, 1 Mo 2.98
Mg 0.0245 0.0000 0.3171  4 Ni 2.64-2.66, 4 Mo 2.88-2.90, 1 Mg 2.89
Ni 0.4903 0.5000 0.8342  5 Mo 2.64-2.89, 4 Mg 2.68-2.71
Ni 0.5139 0.5000 0.1609  8 Mg 2.64-2.68
Mo 0.5392 0.5000 0.5182  2 Mo 2.47
Mo 0.9553 0.0000 0.6733  2 Mo 2.47, 4 Ni 2.64-2.71